Here is Ce3Pm2Ge4 after structural relaxation from Alexandria via LeMat-Bulk. Energies are from PBE-GGA.

Calculated values
Calculated volume ... 464 Å³ per cell
Energy relative to the elements ... -748.2 meV/atom
Excess energy over the best structure of this formula in the dataset ... 0 meV/atom

CIF file:
```
data_Ce3Pm2Ge4
_cell_length_a 8.082
_cell_length_b 7.950
_cell_length_c 7.841
_cell_angle_alpha 90.00
_cell_angle_beta 112.94
_cell_angle_gamma 90.00
_space_group_name_H-M_alt 'P 1 21/c 1'
_space_group_IT_number 14
_space_group_name_Hall '-P 2ybc'
loop_
_atom_site_label
_atom_site_type_symbol
_atom_site_fract_x
_atom_site_fract_y
_atom_site_fract_z
_atom_site_occupancy
Ce1 Ce 0.000 0.000 0.000 1
Ce2 Ce 0.264 0.166 0.787 1
Pm1 Pm 0.295 0.679 0.937 1
Ge1 Ge 0.005 0.626 0.122 1
Ge2 Ge 0.414 0.032 0.182 1
```

---

Here is KLiCdHg after structural relaxation from Alexandria via LeMat-Bulk. Energies are from PBE-GGA.

Calculated values
Calculated volume ... 470 Å³ per cell
Energy relative to the elements ... -61.5 meV/atom

CIF file:
```
data_KLiCdHg
_cell_length_a 7.777
_cell_length_b 7.777
_cell_length_c 7.777
_cell_angle_alpha 90.00
_cell_angle_beta 90.00
_cell_angle_gamma 90.00
_space_group_name_H-M_alt 'F -4 3 m'
_space_group_IT_number 216
_space_group_name_Hall 'F -4 2 3'
loop_
_atom_site_label
_atom_site_type_symbol
_atom_site_fract_x
_atom_site_fract_y
_atom_site_fract_z
_atom_site_occupancy
K1 K 0.000 0.000 0.000 1
Li1 Li 0.000 0.000 0.500 1
Cd1 Cd 0.250 0.250 0.250 1
Hg1 Hg 0.250 0.250 0.750 1
```

---

Here is Ac2Pr5Ho2 after structural relaxation from Alexandria via LeMat-Bulk. Energies are from PBE-GGA.

Calculated values
Calculated volume ... 662 Å³ per cell
Energy relative to the elements ... 34.2 meV/atom

CIF file:
```
data_Ac2Pr5Ho2
_cell_length_a 15.888
_cell_length_b 5.263
_cell_length_c 8.355
_cell_angle_alpha 90.00
_cell_angle_beta 108.56
_cell_angle_gamma 90.00
_space_group_name_H-M_alt 'C 1 2/m 1'
_space_group_IT_number 12
_space_group_name_Hall '-C 2y'
loop_
_atom_site_label
_atom_site_type_symbol
_atom_site_fract_x
_atom_site_fract_y
_atom_site_fract_z
_atom_site_occupancy
Ac1 Ac 0.111 0.000 0.169 1
Pr1 Pr 0.000 0.000 0.500 1
Pr2 Pr 0.165 0.500 0.505 1
Pr3 Pr 0.219 0.000 0.833 1
Ho1 Ho 0.057 0.500 0.831 1
```

---

Number 1: M_tot 3.90 μB/cell. Number 2: M_tot 0.00 μB/cell. Number 3: M_tot 0.00 μB/cell.